[1]
VASP calculation (PBE-GGA) on a relaxed Pm2Nd2Ho3 crystal.

Results
- energy relative to the elements (eV/atom) = 0.130
- DOS(E_F) (states/eV per atom) = 1.644

Lattice parameters (Å, degrees): 3.514 8.823 8.654 115.97 101.71 90.00
Sites, in units of the cell vectors:
Ho  0.780  0.356  0.559
Ho  0.220  0.644  0.441
Ho  0.000  0.500  0.000
Pm  0.639  0.907  0.278
Pm  0.361  0.093  0.722
Nd  0.920  0.795  0.841
Nd  0.080  0.205  0.159

[2]
VASP calculation (PBE-GGA) on a relaxed VPd2Pt crystal.

Results
- energy relative to the elements (eV/atom) = -0.308
- DOS(E_F) (states/eV per atom) = 0.691

Lattice parameters (Å, degrees): 4.292 5.237 5.448 101.71 90.00 90.00
Sites, in units of the cell vectors:
Pd  0.250  0.865  0.073
Pd  0.750  0.161  0.425
Pd  0.250  0.839  0.575
Pd  0.750  0.135  0.927
Pt  0.250  0.369  0.729
Pt  0.750  0.631  0.271
V  0.750  0.628  0.782
V  0.250  0.372  0.218

[3]
VASP calculation (PBE-GGA) on a relaxed ReTcHg2 crystal.

Results
- energy relative to the elements (eV/atom) = 0.834
- DOS(E_F) (states/eV per atom) = 1.010

Lattice parameters (Å, degrees): 5.035 5.035 5.030 80.14 80.14 33.87
Each line ends with the local moment (μB).
Sites, in units of the cell vectors:
Hg  0.500  0.500  0.501  0.00
Hg  0.000  0.000  0.999  0.00
Tc  0.750  0.750  0.750  0.34
Re  0.250  0.250  0.250  0.02

[4]
VASP calculation (PBE-GGA) on a relaxed AsPb2Au crystal.

Results
- energy relative to the elements (eV/atom) = 0.026
- DOS(E_F) (states/eV per atom) = 0.449

Lattice parameters (Å, degrees): 4.224 4.224 7.584 73.83 73.83 60.00
Sites, in units of the cell vectors:
As  0.665  0.665  0.004
Au  0.499  0.499  0.504
Pb  0.255  0.255  0.235
Pb  0.081  0.081  0.757

[5]
VASP calculation (PBE-GGA) on a relaxed BRuO2 crystal.

Results
- uncorrected formation energy (eV per atom) = -0.769
- DOS(E_F) (states/eV per atom) = 0.471

Lattice parameters (Å, degrees): 4.372 4.372 4.798 62.90 62.90 90.00
Sites, in units of the cell vectors:
O  0.375  0.510  0.750
O  0.260  0.625  0.250
O  0.875  0.740  0.750
O  0.490  0.125  0.250
Ru  0.750  0.250  0.500
Ru  0.000  0.000  0.000
B  0.250  0.750  0.500
B  0.500  0.500  0.000

[6]
VASP calculation (PBE-GGA) on a relaxed SrMgZr crystal.

Results
- energy relative to the elements (eV/atom) = 0.208
- DOS(E_F) (states/eV per atom) = 1.141

Lattice parameters (Å, degrees): 8.841 3.440 12.593 90.00 108.74 90.00
Sites, in units of the cell vectors:
Sr  0.720  0.000  0.224
Sr  0.466  0.000  0.912
Sr  0.720  0.500  0.724
Sr  0.466  0.500  0.412
Zr  0.311  0.000  0.615
Zr  0.115  0.500  0.713
Zr  0.311  0.500  0.115
Zr  0.115  0.000  0.213
Mg  0.077  0.500  0.421
Mg  0.077  0.000  0.921
Mg  0.873  0.000  0.527
Mg  0.873  0.500  0.027

[7]
VASP calculation (PBE-GGA) on a relaxed MnIn2Si crystal.

Results
- uncorrected formation energy (eV per atom) = 0.358
- DOS(E_F) (states/eV per atom) = 0.506

Lattice parameters (Å, degrees): 5.344 5.344 5.344 134.00 134.00 67.08
Each line ends with the local moment (μB).
Sites, in units of the cell vectors:
Mn  0.500  0.500  0.000  3.55
In  0.000  0.000  0.000  -0.03
In  0.250  0.750  0.500  -0.04
Si  0.750  0.250  0.500  -0.03

[8]
VASP calculation (PBE-GGA) on a relaxed LuHfBeNi crystal.

Results
- energy relative to the elements (eV/atom) = -0.154
- DOS(E_F) (states/eV per atom) = 0.660

Lattice parameters (Å, degrees): 4.580 4.580 4.580 60.00 60.00 60.00
Sites, in units of the cell vectors:
Hf  0.000  0.000  0.000
Ni  0.250  0.250  0.250
Lu  0.500  0.500  0.500
Be  0.750  0.750  0.750

[9]
VASP calculation (PBE-GGA) on a relaxed SrVSeN2 crystal.

Results
- uncorrected formation energy (eV per atom) = -0.402
- DOS(E_F) (states/eV per atom) = 0.268

Lattice parameters (Å, degrees): 3.996 3.996 5.139 90.00 90.00 90.00
Each line ends with the local moment (μB).
Sites, in units of the cell vectors:
N  0.500  0.000  0.000  0.42
N  0.000  0.500  0.000  0.42
V  0.000  0.000  0.000  -0.49
Sr  0.500  0.500  0.500  0.00
Se  0.000  0.000  0.500  0.05

[10]
VASP calculation (PBE-GGA) on a relaxed YIn4Ni crystal.

Results
- energy relative to the elements (eV/atom) = 0.214
- DOS(E_F) (states/eV per atom) = 0.827

Lattice parameters (Å, degrees): 5.915 5.915 5.915 60.00 60.00 60.00
Sites, in units of the cell vectors:
In  0.375  0.375  0.375
In  0.375  0.375  0.875
In  0.875  0.375  0.375
In  0.375  0.875  0.375
Ni  0.750  0.750  0.750
Y  0.000  0.000  0.000

[11]
VASP calculation (PBE-GGA) on a relaxed Ac3GaAg3 crystal.

Results
- energy relative to the elements (eV/atom) = -0.061
- DOS(E_F) (states/eV per atom) = 0.820

Lattice parameters (Å, degrees): 6.422 9.401 9.401 120.00 90.00 90.00
Sites, in units of the cell vectors:
Ac  0.250  0.631  0.953
Ac  0.250  0.047  0.678
Ac  0.250  0.322  0.369
Ac  0.750  0.678  0.631
Ac  0.750  0.369  0.047
Ac  0.750  0.953  0.322
Ga  0.750  0.333  0.667
Ga  0.250  0.667  0.333
Ag  0.750  0.051  0.693
Ag  0.750  0.307  0.358
Ag  0.750  0.642  0.949
Ag  0.250  0.949  0.307
Ag  0.250  0.358  0.051
Ag  0.250  0.693  0.642

[12]
VASP calculation (PBE-GGA) on a relaxed MnZnFe2 crystal.

Results
- energy relative to the elements (eV/atom) = 0.141
- DOS(E_F) (states/eV per atom) = 1.108

Lattice parameters (Å, degrees): 4.475 4.475 4.544 82.18 82.18 33.32
Each line ends with the local moment (μB).
Sites, in units of the cell vectors:
Mn  0.501  0.501  0.500  2.63
Fe  0.998  0.998  0.996  2.26
Fe  0.750  0.750  0.754  2.42
Zn  0.251  0.251  0.250  -0.07

[13]
VASP calculation (PBE-GGA) on a relaxed La2TlMo crystal.

Results
- energy relative to the elements (eV/atom) = 0.308
- DOS(E_F) (states/eV per atom) = 1.227

Lattice parameters (Å, degrees): 3.782 3.782 7.186 90.00 90.00 90.00
Sites, in units of the cell vectors:
Mo  0.000  0.000  0.528
La  0.500  0.500  0.278
La  0.000  0.000  0.979
Tl  0.500  0.500  0.715

[14]
VASP calculation (PBE-GGA) on a relaxed Ho2CuGe4 crystal.

Results
- energy relative to the elements (eV/atom) = -0.570
- DOS(E_F) (states/eV per atom) = 0.226

Lattice parameters (Å, degrees): 8.680 8.680 4.009 90.00 90.00 152.89
Sites, in units of the cell vectors:
Ge  0.463  0.537  0.500
Ge  0.739  0.261  0.500
Ge  0.555  0.445  0.000
Ge  0.240  0.760  0.000
Ho  0.104  0.896  0.500
Ho  0.897  0.103  0.000
Cu  0.324  0.676  0.500

[15]
VASP calculation (PBE-GGA) on a relaxed TeS2IBr crystal.

Results
- uncorrected formation energy (eV per atom) = 0.517
- DOS(E_F) (states/eV per atom) = 0.710

Lattice parameters (Å, degrees): 5.198 5.540 5.198 90.00 90.00 90.00
Each line ends with the local moment (μB).
Sites, in units of the cell vectors:
I  0.500  0.500  0.500  0.66
S  0.000  0.000  0.500  0.28
S  0.500  0.000  0.000  0.32
Br  0.000  0.500  0.000  0.09
Te  0.000  0.000  0.000  -0.03

[16]
VASP calculation (PBE-GGA) on a relaxed Sm3Dy3Tl crystal.

Results
- energy relative to the elements (eV/atom) = -0.069
- DOS(E_F) (states/eV per atom) = 1.369

Lattice parameters (Å, degrees): 5.600 9.485 9.485 120.00 90.00 90.00
Sites, in units of the cell vectors:
Dy  0.750  0.762  0.823
Dy  0.250  0.939  0.762
Dy  0.750  0.061  0.238
Dy  0.250  0.823  0.061
Dy  0.250  0.238  0.177
Dy  0.750  0.177  0.939
Sm  0.750  0.630  0.107
Sm  0.250  0.523  0.630
Sm  0.750  0.477  0.370
Sm  0.250  0.107  0.477
Sm  0.750  0.893  0.523
Sm  0.250  0.370  0.893
Tl  0.750  0.333  0.667
Tl  0.250  0.667  0.333

[17]
VASP calculation (PBE-GGA) on a relaxed Pm5SmHo2Sc crystal.

Results
- energy relative to the elements (eV/atom) = 0.160
- DOS(E_F) (states/eV per atom) = 1.599

Lattice parameters (Å, degrees): 5.605 10.536 10.466 90.00 90.00 105.43
Sites, in units of the cell vectors:
Pm  0.515  0.030  0.243
Pm  0.485  0.970  0.743
Pm  0.375  0.750  0.019
Pm  0.016  0.032  0.014
Pm  0.702  0.404  0.208
Pm  0.984  0.968  0.514
Pm  0.276  0.552  0.321
Pm  0.724  0.448  0.821
Pm  0.298  0.596  0.708
Pm  0.625  0.250  0.519
Sm  0.407  0.813  0.461
Sm  0.593  0.187  0.961
Ho  0.884  0.769  0.238
Ho  0.887  0.774  0.807
Ho  0.116  0.231  0.738
Ho  0.113  0.226  0.307
Sc  0.195  0.390  0.014
Sc  0.805  0.610  0.514

[18]
VASP calculation (PBE-GGA) on a relaxed LaYGeS crystal.

Results
- uncorrected formation energy (eV per atom) = -1.469
- DOS(E_F) (states/eV per atom) = 0.410

Lattice parameters (Å, degrees): 4.186 4.186 7.250 73.22 73.22 60.00
Sites, in units of the cell vectors:
Ge  0.940  0.940  0.180
S  0.449  0.449  0.654
La  0.694  0.694  0.918
Y  0.194  0.194  0.418

[19]
VASP calculation (PBE-GGA) on a relaxed Np2AgI8 crystal.

Results
- uncorrected formation energy (eV per atom) = -0.571
- DOS(E_F) (states/eV per atom) = 1.339

Lattice parameters (Å, degrees): 6.185 9.856 9.856 71.45 91.22 91.22
Each line ends with the local moment (μB).
Sites, in units of the cell vectors:
I  0.764  0.717  0.108  -0.06
I  0.268  0.387  0.387  -0.08
I  0.250  0.797  0.797  -0.06
I  0.764  0.108  0.717  -0.06
I  0.236  0.283  0.892  -0.06
I  0.750  0.203  0.203  -0.06
I  0.236  0.892  0.283  -0.06
I  0.732  0.613  0.613  -0.08
Np  0.258  0.205  0.205  3.71
Np  0.742  0.795  0.795  3.71
Ag  0.000  0.000  0.000  -0.01

[20]
VASP calculation (PBE-GGA) on a relaxed SiMoCl2 crystal.

Results
- uncorrected formation energy (eV per atom) = -0.296
- DOS(E_F) (states/eV per atom) = 0.816

Lattice parameters (Å, degrees): 3.028 3.248 9.278 90.00 90.00 90.00
Sites, in units of the cell vectors:
Cl  0.500  0.500  0.327
Cl  0.000  0.000  0.933
Si  0.500  0.500  0.549
Mo  0.000  0.000  0.691

[21]
VASP calculation (PBE-GGA) on a relaxed K2ZrAs crystal.

Results
- energy relative to the elements (eV/atom) = -0.232
- DOS(E_F) (states/eV per atom) = 0.604

Lattice parameters (Å, degrees): 3.803 3.861 10.676 80.11 90.00 90.00
Each line ends with the local moment (μB).
Sites, in units of the cell vectors:
K  0.500  0.147  0.317  0.01
K  0.000  0.855  0.931  0.01
As  0.500  0.995  0.635  -0.03
Zr  0.000  0.503  0.617  0.49

[22]
VASP calculation (PBE-GGA) on a relaxed ScHPd4 crystal.

Results
- electronic total energy (eV per atom) = -5.18
- DOS(E_F) (states/eV per atom) = 0.322

Lattice parameters (Å, degrees): 6.339 6.339 6.339 111.77 111.77 104.96
Sites, in units of the cell vectors:
Pd  0.685  0.986  0.300
Pd  0.373  0.563  0.810
Pd  0.752  0.563  0.190
Pd  0.685  0.385  0.700
Pd  0.736  0.935  0.800
Pd  0.313  0.623  0.310
Pd  0.313  0.002  0.690
Pd  0.135  0.935  0.200
H  0.548  0.048  0.500
H  0.798  0.798  0.000
Sc  0.207  0.207  0.000
Sc  0.957  0.457  0.500

[23]
VASP calculation (PBE-GGA) on a relaxed OsClO2 crystal.

Results
- uncorrected formation energy (eV per atom) = -0.169
- DOS(E_F) (states/eV per atom) = 0.887

Lattice parameters (Å, degrees): 7.776 7.776 7.776 23.31 23.31 23.31
Each line ends with the local moment (μB).
Sites, in units of the cell vectors:
Cl  0.000  0.000  0.000  0.28
O  0.871  0.871  0.871  -0.03
O  0.129  0.129  0.129  -0.03
Os  0.500  0.500  0.500  -0.18

[24]
VASP calculation (PBE-GGA) on a relaxed Cs2KNaS crystal.

Results
- uncorrected formation energy (eV per atom) = -0.484
- DOS(E_F) (states/eV per atom) = 0.557

Lattice parameters (Å, degrees): 7.197 7.197 5.467 90.00 90.00 90.00
Sites, in units of the cell vectors:
Cs  0.000  0.500  0.000
Cs  0.500  0.000  0.000
Na  0.000  0.000  0.500
K  0.500  0.500  0.500
S  0.000  0.000  0.000

[25]
VASP calculation (PBE-GGA) on a relaxed KEuZr4O12 crystal.

Results
- uncorrected formation energy (eV per atom) = -2.457
- DOS(E_F) (states/eV per atom) = 0.734

Lattice parameters (Å, degrees): 5.849 5.849 8.310 90.00 90.00 89.89
Each line ends with the local moment (μB).
Sites, in units of the cell vectors:
O  0.776  0.776  0.771  0.38
O  0.276  0.722  0.710  0.18
O  0.776  0.776  0.229  0.38
O  0.256  0.256  0.306  0.15
O  0.722  0.276  0.710  0.18
O  0.009  0.474  0.000  0.14
O  0.276  0.722  0.290  0.18
O  0.911  0.546  0.500  0.53
O  0.474  0.009  0.000  0.14
O  0.546  0.911  0.500  0.53
O  0.256  0.256  0.694  0.15
O  0.722  0.276  0.290  0.18
Zr  0.000  0.496  0.753  -0.05
Zr  0.000  0.496  0.247  -0.05
Zr  0.496  0.000  0.753  -0.05
Zr  0.496  0.000  0.247  -0.05
Eu  0.496  0.496  0.500  6.26
K  0.998  0.998  0.000  0.00